First-principles (PBE-GGA) data for a relaxed MnPdS3 crystal, as listed in the Alexandria database.

Values from the calculation:
ΔE_f (raw) (eV/atom): -0.37
Excess energy over the best structure of this formula in the dataset (kJ/mol of atoms): 0.0
Spin magnetization (μB/atom): 0.50
Calculated total energy (eV per cell): -171.6

a = 6.0217 Å, b = 6.0217 Å, c = 16.2100 Å
α = 90.00°, β = 90.00°, γ = 120.00°
Space group R-3 (No. 148, hexagonal axes)
Inequivalent atoms, fractional coordinates:
Mn 0.0000 0.0000 0.1590 x6
Pd 0.0000 0.0000 0.3472 x6
S 0.0086 0.3150 0.7550 x18



First-principles (PBE-GGA) data for a relaxed Ba3TlN crystal, as listed in the Alexandria database.

Values from the calculation:
ΔE_f (raw) (eV/atom): -0.34
Spin magnetization (μB/atom): 0.00
Calculated total energy (eV per cell): -72.6

a = 22.318 Å, b = 5.660 Å, c = 6.026 Å
α = 90.00°, β = 105.50°, γ = 90.00°
Space group C2/m (No. 12)
Inequivalent atoms, fractional coordinates:
Ba 0.062 0.000 0.323 x4
Ba 0.170 0.000 0.940 x4
Ba 0.191 0.500 0.450 x4
Tl 0.055 0.500 0.805 x4
N 0.183 0.000 0.371 x4



First-principles (PBE-GGA) data for a relaxed TcRh2Se crystal, as listed in the Alexandria database.

Values from the calculation:
ΔE_f (raw) (eV/atom): 0.13
Spin magnetization (μB/atom): 0.00
Calculated total energy (eV per cell): -28.0

a = 2.842 Å, b = 4.066 Å, c = 5.308 Å
α = 90.00°, β = 102.98°, γ = 90.00°
Space group P2/m (No. 10)
Inequivalent atoms, fractional coordinates:
Tc 0.000 0.000 0.000 x1
Rh 0.387 0.500 0.751 x2
Se 0.000 0.000 0.500 x1



First-principles (PBE-GGA) data for a relaxed TcPdSeN2 crystal, as listed in the Alexandria database.

Values from the calculation:
ΔE_f (raw) (eV/atom): 1.78
Excess energy over the best structure of this formula in the dataset (kJ/mol of atoms): 113.6
Spin magnetization (μB/atom): 1.45
Calculated total energy (eV per cell): -26.8

a = 3.924 Å, b = 3.924 Å, c = 5.589 Å
α = 90.00°, β = 90.00°, γ = 90.00°
Space group P4/mmm (No. 123)
Inequivalent atoms, fractional coordinates:
Tc 0.000 0.000 0.000 x1
Pd 0.500 0.500 0.500 x1
Se 0.500 0.500 0.000 x1
N 0.000 0.500 0.500 x2